Compound: Mg3PdC
Source: the Alexandria database
Functional: PBE
Structure: relaxed

The structure in POSCAR format:
```
Mg3PdC
1.0
4.327 0.000 0.000
0.000 4.327 0.000
0.000 0.000 4.327
Mg Pd C
3 1 1
direct
0.000 0.000 0.500
0.000 0.500 0.000
0.500 0.000 0.000
0.500 0.500 0.500
0.000 0.000 0.000
```

Output
ρ (Mg/m³): 3.9
Crystal system: cubic
N(E_F) (states/eV/atom): 0.15
Magnetization (Bohr magnetons per cell): 0.00
Calculated formation energy (meV per atom): -21.2
Distance to the lowest polymorph of the same formula (eV/atom): 0.000
SG: No. 221